(1)
Compound: SnBRh6
Source: the Alexandria database
Functional: GGA-PBE
Structure: relaxed

extended XYZ file:
```
8
Lattice="4.982 -0.660 -0.121 -0.284 5.018 -0.121 1.208 1.120 4.750" Properties=species:S:1:pos:R:3 pbc="T T T"
Rh 3.868 0.383 1.266
Rh 4.429 4.108 4.074
Rh 1.478 1.371 0.434
Rh 2.038 5.096 3.243
Rh 5.235 1.650 3.242
Rh 0.672 3.828 1.266
B 0.000 0.000 0.000
Sn 2.953 2.739 2.254
```

Calculated values
ΔH_f (0 K): -0.9 kJ per mole of atoms
SG: R-3m
VASP energy: -54.9 eV per cell
magnetization: 0.000 μB per atom

***

(2)
Compound: SnB2Rh8
Source: the Alexandria database
Functional: GGA-PBE
Structure: relaxed

extended XYZ file:
```
11
Lattice="4.222 -0.074 -0.111 -0.799 6.161 0.124 -0.799 -2.258 5.733" Properties=species:S:1:pos:R:3 pbc="T T T"
Sn 2.111 -0.037 -0.055
B -0.799 3.487 1.905
B -0.799 0.415 3.952
Rh 1.312 -0.093 4.210
Rh 2.551 4.198 3.850
Rh 1.312 3.921 1.536
Rh 0.073 1.893 0.390
Rh 2.352 1.453 2.180
Rh 0.272 2.376 3.566
Rh 0.073 -0.369 1.897
Rh 2.551 1.936 5.357
```

Calculated values
ΔH_f (0 K): -13.7 kJ per mole of atoms
SG: C2/m
VASP energy: -77.7 eV per cell
magnetization: 0.000 μB per atom

***

(3)
Compound: Sn3B2Rh7
Source: the Alexandria database
Functional: GGA-PBE
Structure: relaxed

extended XYZ file:
```
12
Lattice="-1.211 3.715 1.372 -3.090 -1.784 2.104 7.756 -0.130 7.201" Properties=species:S:1:pos:R:3 pbc="T T T"
Rh 2.147 -1.500 5.959
Rh 0.000 0.000 0.000
Rh 2.887 0.136 8.432
Rh 2.518 -0.414 3.347
Rh 0.568 1.664 2.245
Rh 4.956 -0.816 6.586
Rh -0.290 -1.099 2.719
Sn 0.231 0.573 4.902
Sn 3.224 1.227 5.775
Sn -2.151 0.965 1.738
B 3.371 -1.701 7.585
B 1.294 -0.213 1.720
```

Calculated values
ΔH_f (0 K): -37.5 kJ per mole of atoms
SG: Cmmm
VASP energy: -81.5 eV per cell
magnetization: 0.000 μB per atom

***

(4)
Compound: Sr2SnB2Rh5
Source: the Alexandria database
Functional: GGA-PBE
Structure: relaxed

extended XYZ file:
```
20
Lattice="-0.611 1.121 2.801 -9.915 -1.311 -1.640 0.596 -9.348 3.871" Properties=species:S:1:pos:R:3 pbc="T T T"
B -0.805 -5.936 2.199
B -3.713 -1.607 -0.168
B -8.514 -4.723 0.032
B -5.606 -9.052 2.398
Rh -9.402 -2.809 0.763
Rh -2.544 -0.383 1.290
Rh -0.529 -6.729 4.269
Rh -0.008 -4.113 3.336
Rh -5.263 -0.095 0.581
Rh -4.421 -2.530 1.739
Rh -7.387 -9.154 3.742
Rh -2.645 -5.110 3.159
Rh -7.285 -4.427 1.873
Rh -5.510 -7.008 3.293
Sr -7.742 -7.418 1.279
Sr -1.577 -3.240 0.952
Sr -2.699 -8.102 2.653
Sr -6.620 -2.557 -0.422
Sn -4.660 -5.329 1.115
Sn 0.000 0.000 0.000
```

Calculated values
ΔH_f (0 K): -44.1 kJ per mole of atoms
SG: P4/mbm
VASP energy: -124.1 eV per cell
magnetization: 0.000 μB per atom

***

(5)
Compound: SrSnBRh3
Source: the Alexandria database
Functional: GGA-PBE
Structure: relaxed

extended XYZ file:
```
12
Lattice="5.938 0.000 0.000 0.000 5.993 0.000 0.000 -2.997 6.425" Properties=species:S:1:pos:R:3 pbc="T T T"
Sr 4.453 0.000 3.216
Sr 1.484 2.997 3.209
Sn 4.453 2.997 1.575
Sn 1.484 0.000 4.850
Rh 0.000 4.565 0.000
Rh 4.453 2.997 4.161
Rh 1.484 0.000 2.264
Rh 2.969 1.429 0.000
Rh 2.969 4.565 0.000
Rh 0.000 1.429 0.000
B 1.484 0.000 0.237
B 4.453 2.997 6.187
```

Calculated values
ΔH_f (0 K): -42.1 kJ per mole of atoms
SG: Cmcm
VASP energy: -74.1 eV per cell
magnetization: 0.000 μB per atom

***

(6)
Compound: Tb4SnB3Rh12
Source: the Alexandria database
Functional: GGA-PBE
Structure: relaxed

extended XYZ file:
```
20
Lattice="-5.646 -4.189 -2.774 6.607 -2.750 -2.430 -0.188 -0.203 7.553" Properties=species:S:1:pos:R:3 pbc="T T T"
Tb 0.386 -3.571 1.174
Tb -0.094 -0.101 3.776
Tb 3.303 -1.375 -1.215
Tb -2.823 -2.095 -1.387
Rh 0.268 -1.936 -1.452
Rh 4.628 -2.129 3.693
Rh 3.450 -3.211 1.260
Rh 1.791 -0.824 1.429
Rh -0.978 -4.567 -1.407
Rh -1.628 -1.225 1.333
Rh 2.085 -4.208 -1.321
Rh -2.677 -3.931 1.088
Rh -4.206 -3.167 3.445
Rh 0.693 -5.003 -3.752
Rh 1.751 -2.574 3.756
Rh -1.312 -2.934 3.670
B 3.209 -1.476 2.561
B 0.481 -3.470 -2.602
B -2.917 -2.196 2.389
Sn 0.000 0.000 0.000
```

Calculated values
ΔH_f (0 K): -55.8 kJ per mole of atoms
SG: Im-3m
VASP energy: -142.3 eV per cell
magnetization: 0.000 μB per atom

***

(7)
Compound: Tb2Sn2BRh4
Source: the Alexandria database
Functional: GGA-PBE
Structure: relaxed

extended XYZ file:
```
9
Lattice="-3.983 -3.339 3.239 -0.690 0.491 -6.065 5.736 -2.013 -0.744" Properties=species:S:1:pos:R:3 pbc="T T T"
Rh 1.758 -2.909 -3.491
Rh -0.695 -1.952 -0.079
Rh 0.840 -0.105 -4.798
Rh 4.206 -1.417 -2.011
Sn 2.138 -3.056 -0.455
Sn -1.075 -1.805 -3.115
Tb 3.568 -1.077 -4.816
Tb 1.477 -0.446 -1.993
B 0.000 0.000 0.000
```

Calculated values
ΔH_f (0 K): -47.2 kJ per mole of atoms
SG: I4/mmm
VASP energy: -57.8 eV per cell
magnetization: 0.000 μB per atom

***

(8)
Compound: Tb2SnBRh6
Source: the Alexandria database
Functional: GGA-PBE
Structure: relaxed

extended XYZ file:
```
10
Lattice="6.366 -0.001 -0.001 -0.001 6.371 -0.001 3.182 3.185 4.503" Properties=species:S:1:pos:R:3 pbc="T T T"
Rh 6.366 6.370 2.477
Rh 3.182 3.184 2.024
Rh 1.751 1.754 0.000
Rh 7.797 4.938 4.502
Rh 7.797 7.800 4.501
Rh 1.751 4.617 -0.001
Sn 0.000 0.000 0.000
B 3.183 3.185 -0.001
Tb 3.182 6.370 2.252
Tb 6.366 3.185 2.250
```

Calculated values
ΔH_f (0 K): -42.4 kJ per mole of atoms
SG: Fm-3m
VASP energy: -68.4 eV per cell
magnetization: 0.000 μB per atom

***

(9)
Compound: Tb2SnB2Rh5
Source: the Alexandria database
Functional: GGA-PBE
Structure: relaxed

extended XYZ file:
```
20
Lattice="3.285 0.000 0.000 0.000 9.600 0.000 0.000 0.000 9.600" Properties=species:S:1:pos:R:3 pbc="T T T"
B 0.000 5.960 8.439
B 0.000 1.160 5.960
B 0.000 8.439 3.640
B 0.000 3.640 1.160
Rh 1.643 4.800 0.000
Rh 1.643 6.965 4.123
Rh 1.643 2.634 5.477
Rh 1.643 7.434 8.922
Rh 1.643 5.477 6.965
Rh 1.643 8.922 2.165
Rh 1.643 4.123 2.634
Rh 1.643 0.000 4.800
Rh 1.643 0.677 7.434
Rh 1.643 2.165 0.677
Tb 0.000 7.913 6.487
Tb 0.000 3.113 7.913
Tb 0.000 6.487 1.687
Tb 0.000 1.687 3.113
Sn 0.000 0.000 0.000
Sn 0.000 4.800 4.800
```

Calculated values
ΔH_f (0 K): -78.4 kJ per mole of atoms
SG: P4/mbm
VASP energy: -143.0 eV per cell
magnetization: 0.000 μB per atom

***

(10)
Compound: Sn2BTeRh
Source: the Alexandria database
Functional: GGA-PBE
Structure: relaxed

extended XYZ file:
```
5
Lattice="-2.109 0.609 4.052 -2.670 -4.049 -0.781 3.243 -2.537 2.069" Properties=species:S:1:pos:R:3 pbc="T T T"
Sn 1.621 -1.269 1.035
Sn -1.054 0.305 2.026
Rh -0.768 -2.989 2.670
B 0.000 0.000 0.000
Te -1.335 -2.025 -0.391
```

Calculated values
SG: P4/mmm
energy relative to the lowest polymorph listed for this composition: 0.00 eV per formula unit
VASP energy: -21.4 eV per cell
magnetization: 0.000 μB per atom
raw formation energy: 748 meV per atom

***

(11)
Compound: Sn2BTeRh
Source: the Alexandria database
Functional: GGA-PBE
Structure: relaxed

extended XYZ file:
```
5
Lattice="5.873 0.000 0.000 0.000 4.830 0.000 0.000 0.000 5.873" Properties=species:S:1:pos:R:3 pbc="T T T"
B 2.936 2.415 2.936
Rh 0.000 2.415 0.000
Te 0.000 0.000 0.000
Sn 2.936 0.000 0.000
Sn 0.000 0.000 2.936
```

Calculated values
SG: P4/mmm
energy relative to the lowest polymorph listed for this composition: 4.27 eV per formula unit
VASP energy: -17.2 eV per cell
magnetization: 0.000 μB per atom
raw formation energy: 1602 meV per atom

***

(12)
Compound: Th2SnB3Rh12
Source: the Alexandria database
Functional: GGA-PBE
Structure: relaxed

extended XYZ file:
```
18
Lattice="7.294 -0.108 -0.077 3.508 6.396 -0.077 3.508 2.042 6.061" Properties=species:S:1:pos:R:3 pbc="T T T"
B 1.754 1.021 3.031
B 1.754 3.198 -0.038
B 3.647 -0.054 -0.038
Rh 5.088 1.237 0.877
Rh 10.722 4.516 5.031
Rh 5.985 6.097 1.556
Rh 6.052 6.136 4.352
Rh 10.722 6.241 2.599
Rh 8.325 2.232 4.352
Rh 8.257 2.193 1.556
Rh 5.985 3.484 5.240
Rh 8.325 4.846 0.668
Rh 9.222 7.093 5.031
Rh 3.588 3.813 0.877
Rh 3.588 2.089 3.309
Sn 0.000 0.000 0.000
Th 5.792 3.372 2.391
Th 8.518 4.958 3.517
```

Calculated values
ΔH_f (0 K): -30.3 kJ per mole of atoms
SG: R-3m
VASP energy: -132.8 eV per cell
magnetization: 0.000 μB per atom

***

(13)
Compound: Th3SnB2Rh9
Source: the Alexandria database
Functional: GGA-PBE
Structure: relaxed

extended XYZ file:
```
15
Lattice="5.897 0.000 0.000 -2.948 5.107 0.000 0.000 0.000 8.952" Properties=species:S:1:pos:R:3 pbc="T T T"
Th 0.000 0.000 0.000
Th 2.948 1.702 2.780
Th 0.000 3.404 6.172
Rh -1.474 2.553 0.000
Rh 1.495 4.268 2.423
Rh 1.474 2.553 0.000
Rh 0.000 1.678 2.423
Rh 1.453 0.839 6.529
Rh 2.948 3.429 6.529
Rh -1.495 4.268 2.423
Rh 2.948 0.000 0.000
Rh 4.443 0.839 6.529
Sn 0.000 0.000 4.476
B 2.948 1.702 7.666
B 0.000 3.404 1.286
```

Calculated values
ΔH_f (0 K): -72.2 kJ per mole of atoms
SG: P-3m1
VASP energy: -117.0 eV per cell
magnetization: 0.000 μB per atom

***

(14)
Compound: ThSnB2Rh5
Source: the Alexandria database
Functional: GGA-PBE
Structure: relaxed

extended XYZ file:
```
9
Lattice="4.054 0.000 0.000 0.000 4.054 0.000 0.000 0.000 8.506" Properties=species:S:1:pos:R:3 pbc="T T T"
Th 0.000 0.000 0.000
B 2.027 2.027 6.803
B 2.027 2.027 1.703
Rh 2.027 2.027 4.253
Rh 2.027 0.000 2.238
Rh 0.000 2.027 6.268
Rh 2.027 0.000 6.268
Rh 0.000 2.027 2.238
Sn 0.000 0.000 4.253
```

Calculated values
ΔH_f (0 K): -54.6 kJ per mole of atoms
SG: P4/mmm
VASP energy: -66.6 eV per cell
magnetization: 0.000 μB per atom

***

(15)
Compound: TiSn2BRh
Source: the Alexandria database
Functional: GGA-PBE
Structure: relaxed

extended XYZ file:
```
5
Lattice="5.199 0.000 0.000 0.000 3.903 0.000 0.000 0.000 5.199" Properties=species:S:1:pos:R:3 pbc="T T T"
Ti 2.600 1.951 2.600
B 0.000 1.951 0.000
Sn 2.600 0.000 0.000
Sn 0.000 0.000 2.600
Rh 0.000 0.000 0.000
```

Calculated values
ΔH_f (0 K): 54.6 kJ per mole of atoms
SG: P4/mmm
VASP energy: -27.1 eV per cell
magnetization: 0.000 μB per atom

***

(16)
Compound: Tm2SnBRh6
Source: the Alexandria database
Functional: GGA-PBE
Structure: relaxed

extended XYZ file:
```
10
Lattice="-2.611 -2.605 5.152 1.744 -5.749 -2.026 3.461 -3.764 3.745" Properties=species:S:1:pos:R:3 pbc="T T T"
Tm 2.387 -6.845 1.642
Tm 0.207 -5.273 5.229
B -0.433 -4.177 1.563
Rh 3.224 -6.061 4.602
Rh 1.320 -3.991 2.545
Rh -1.414 -3.469 3.179
Rh -0.629 -6.057 2.268
Rh 4.008 -8.649 3.692
Rh 1.274 -8.127 4.325
Sn 0.000 0.000 0.000
```

Calculated values
ΔH_f (0 K): -40.7 kJ per mole of atoms
SG: Fm-3m
VASP energy: -67.9 eV per cell
magnetization: 0.000 μB per atom

***

(17)
Compound: Tm4SnB3Rh12
Source: the Alexandria database
Functional: GGA-PBE
Structure: relaxed

extended XYZ file:
```
20
Lattice="7.516 0.000 0.000 -2.505 7.086 0.000 -2.505 -3.543 6.136" Properties=species:S:1:pos:R:3 pbc="T T T"
Rh 3.615 -2.556 4.427
Rh 1.396 1.974 0.000
Rh -1.396 0.987 1.709
Rh -3.615 2.556 4.427
Rh 3.615 5.112 0.000
Rh 1.253 4.429 1.534
Rh -1.253 3.543 3.068
Rh 3.758 0.000 3.068
Rh 1.396 -0.987 1.709
Rh 1.253 -0.886 4.602
Rh 3.758 2.657 1.534
Rh -1.253 0.886 4.602
Sn 0.000 0.000 0.000
Tm 1.253 1.771 3.068
Tm -1.253 3.543 0.000
Tm -1.253 -1.771 3.068
Tm 3.758 0.000 0.000
B 2.505 3.543 0.000
B 2.505 -1.771 3.068
B -2.505 1.771 3.068
```

Calculated values
ΔH_f (0 K): -56.2 kJ per mole of atoms
SG: Im-3m
VASP energy: -141.8 eV per cell
magnetization: 0.000 μB per atom

***

(18)
Compound: Tm3SnB2Rh9
Source: the Alexandria database
Functional: GGA-PBE
Structure: relaxed

extended XYZ file:
```
15
Lattice="-5.679 -1.105 -0.620 3.564 -0.426 -4.580 1.459 -8.584 1.934" Properties=species:S:1:pos:R:3 pbc="T T T"
Rh -2.840 -0.552 -0.310
Rh -0.177 -6.745 0.489
Rh 0.617 -2.577 -1.061
Rh -3.120 -7.318 0.168
Rh -1.273 -7.539 -2.206
Rh 2.465 -2.797 -3.434
Rh 1.782 -0.213 -2.290
Rh -1.057 -0.765 -2.600
Rh -0.479 -3.370 -3.756
Tm 1.521 -6.758 -1.885
Tm -2.177 -3.357 -1.382
Tm 0.000 0.000 0.000
Sn 0.729 -4.292 0.967
B -1.352 -8.213 -0.288
B 0.696 -1.902 -2.978
```

Calculated values
ΔH_f (0 K): -58.7 kJ per mole of atoms
SG: P-3m1
VASP energy: -106.1 eV per cell
magnetization: 0.000 μB per atom

***

(19)
Compound: V2SnBRh
Source: the Alexandria database
Functional: GGA-PBE
Structure: relaxed

extended XYZ file:
```
5
Lattice="4.035 0.000 0.000 0.000 4.463 0.000 0.000 0.000 4.035" Properties=species:S:1:pos:R:3 pbc="T T T"
V 0.000 0.000 2.017
V 2.017 0.000 0.000
B 0.000 0.000 0.000
Rh 2.017 2.232 2.017
Sn 0.000 2.232 0.000
```

Calculated values
ΔH_f (0 K): 21.6 kJ per mole of atoms
SG: P4/mmm
VASP energy: -35.1 eV per cell
magnetization: 0.373 μB per atom

***

(20)
Compound: Y3SnB2Rh9
Source: the Alexandria database
Functional: GGA-PBE
Structure: relaxed

extended XYZ file:
```
15
Lattice="-4.158 -4.078 0.653 4.872 -1.238 -3.013 3.856 -2.751 7.365" Properties=species:S:1:pos:R:3 pbc="T T T"
Rh 0.140 -5.622 5.432
Rh 0.357 -2.658 -1.180
Rh 2.436 -0.619 -1.506
Rh 2.614 -6.251 3.902
Rh 2.252 -3.550 5.100
Rh 1.955 -1.817 1.104
Rh 4.430 -2.446 -0.426
Rh 2.318 -4.517 -0.095
Rh -2.079 -2.039 0.327
Y 4.463 -4.040 3.177
Y 0.107 -4.027 1.829
Y 0.000 0.000 0.000
B 2.151 -5.486 5.734
B 2.418 -2.582 -0.728
Sn 1.928 -1.375 3.683
```

Calculated values
ΔH_f (0 K): -55.9 kJ per mole of atoms
SG: P-3m1
VASP energy: -111.6 eV per cell
magnetization: 0.000 μB per atom